SnHgAu3 after structural relaxation, computed with PBE.

Calculated values
The energy above the lowest structure with this stoichiometry is 395 meV/atom. The density of states at the Fermi level is 2.155 states/eV/cell. The spin magnetization comes out at 0.0 μB/f.u. The calculation puts the total energy at -2.45 eV per atom.

Cell and atoms, written as POSCAR:
```
SnHgAu3
1.0
-0.682 -4.160 3.141
-2.804 -2.377 -3.758
4.394 -2.163 -1.910
Au Sn Hg
3 1 1
direct
0.000 0.000 0.500 Au
0.000 0.500 0.000 Au
0.500 0.000 0.000 Au
0.000 0.000 0.000 Sn
0.500 0.500 0.500 Hg
```